(1)
A geometry-optimized TlOs2 structure. Source: Alexandria, functional PBE-GGA.

Total magnetization, Bohr magnetons per cell: 0.00
Energy relative to the elements, kJ/mol of formula units: 313.8
Symmetry: I4_1/amd (141)

abc: 7.9722 7.9722 7.9722
angles: 150.45 150.45 42.29
Sites, in units of the cell vectors:
Tl 0.0000 0.0000 0.0000
Tl 0.7500 0.2500 0.5000
Os 0.5816 0.5816 0.0000
Os 0.1684 0.6684 0.5000
Os 0.4184 0.4184 0.0000
Os 0.3316 0.8316 0.5000

=====

(2)
A geometry-optimized Rb2PdO structure. Source: Alexandria, functional PBE-GGA.

Total magnetization, Bohr magnetons per cell: 0.00
Symmetry: I-42d (122)
Formation energy (no corrections), eV per atom: -0.594

abc: 11.6622 11.6622 8.4913
angles: 46.63 46.63 90.00
Sites, in units of the cell vectors:
O 0.5000 0.5000 0.0000
O 0.2500 0.7500 0.5000
Rb 0.3905 0.1250 0.2500
Rb 0.3595 0.6250 0.2500
Rb 0.3750 0.6095 0.7500
Rb 0.8750 0.6405 0.7500
Pd 0.0000 0.0000 0.0000
Pd 0.7500 0.2500 0.5000

=====

(3)
A geometry-optimized HfCoBOs2 structure. Source: Alexandria, functional PBE-GGA.

Total magnetization, Bohr magnetons per cell: 0.00
Energy relative to the elements, kJ/mol of formula units: -184.0
Symmetry: P4/mmm (123)

abc: 4.1447 4.1447 3.8885
angles: 90.00 90.00 90.00
Sites, in units of the cell vectors:
Hf 0.5000 0.5000 0.5000
B 0.0000 0.0000 0.0000
Os 0.0000 0.5000 0.0000
Os 0.5000 0.0000 0.0000
Co 0.0000 0.0000 0.5000

=====

(4)
A geometry-optimized Na8B13C3 structure. Source: Alexandria, functional PBE-GGA.

Total magnetization, Bohr magnetons per cell: 0.00
Energy relative to the elements, kJ/mol of formula units: 489.9
Symmetry: P1 (1)

abc: 9.1393 9.1417 5.9407
angles: 99.50 99.33 32.18
Sites, in units of the cell vectors:
Na 0.5002 0.5003 0.7501
Na 0.2496 0.2499 0.6251
Na 0.5002 0.4988 0.2492
Na 0.2507 0.2497 0.1256
Na 0.9987 0.0014 0.5004
Na 0.7500 0.7518 0.3751
Na 0.9999 0.9982 0.9995
Na 0.7510 0.7494 0.8747
C 0.3004 0.9494 0.8059
C 0.2041 0.5454 0.9370
C 0.8023 0.4486 0.5702
B 0.7081 0.0416 0.6889
B 0.3084 0.9408 0.3108
B 0.4614 0.7886 0.5721
B 0.5463 0.2045 0.4384
B 0.7060 0.0438 0.1848
B 0.4286 0.8207 0.0460
B 0.5243 0.2246 0.9371
B 0.1946 0.5563 0.4372
B 0.8064 0.4440 0.0658
B 0.9304 0.3199 0.3279
B 0.0582 0.6918 0.1744
B 0.9603 0.2902 0.8031
B 0.0599 0.6903 0.7006

=====

(5)
A geometry-optimized Y2Al3Cd structure. Source: Alexandria, functional PBE-GGA.

Total magnetization, Bohr magnetons per cell: 0.00
Energy relative to the elements, kJ/mol of formula units: -259.2
Symmetry: Fmmm (69)

abc: 5.8565 5.8565 8.7573
angles: 104.41 104.41 104.81
Sites, in units of the cell vectors:
Y 0.2500 0.7500 0.5000
Y 0.7508 0.7508 0.0000
Y 0.7500 0.2500 0.5000
Y 0.2492 0.2492 0.0000
Al 0.3285 0.8357 0.1642
Al 0.1643 0.6715 0.8358
Al 0.6715 0.1643 0.8358
Al 0.8357 0.3285 0.1642
Al 0.1642 0.1642 0.3284
Al 0.8358 0.8358 0.6716
Cd 0.6666 0.6666 0.3332
Cd 0.3334 0.3334 0.6668

=====

(6)
A geometry-optimized MoRuPb3 structure. Source: Alexandria, functional PBE-GGA.

Total magnetization, Bohr magnetons per cell: 3.92
Energy relative to the elements, kJ/mol of formula units: 634.8
Symmetry: Pm-3m (221)

abc: 5.3513 5.3513 5.3513
angles: 90.00 90.00 90.00
Site moments in Bohr magnetons follow the coordinates.
Sites, in units of the cell vectors:
Pb 0.0000 0.5000 0.0000  -0.01
Pb 0.0000 0.0000 0.5000  0.04
Pb 0.5000 0.0000 0.0000  -0.02
Ru 0.5000 0.5000 0.5000  2.48
Mo 0.0000 0.0000 0.0000  0.89

=====

(7)
A geometry-optimized YSb structure. Source: Alexandria, functional PBE-GGA.

Total magnetization, Bohr magnetons per cell: 0.00
Symmetry: I4_1/amd (141)
Formation energy (no corrections), eV per atom: -0.868

abc: 6.3946 6.3946 6.3946
angles: 139.52 139.50 58.60
Sites, in units of the cell vectors:
Sb 0.3750 0.6250 0.2500
Sb 0.6250 0.3750 0.7500
Y 0.8749 0.1249 0.2500
Y 0.1251 0.8751 0.7500

=====

(8)
A geometry-optimized ThGeRh2 structure. Source: Alexandria, functional PBE-GGA.

Total magnetization, Bohr magnetons per cell: 0.00
Energy relative to the elements, kJ/mol of formula units: -186.7
Symmetry: Cmmm (65)

abc: 3.9661 5.9506 4.5445
angles: 130.90 90.04 90.00
Sites, in units of the cell vectors:
Th 0.5000 0.5000 0.0000
Ge 0.5000 0.0000 0.0000
Rh 0.9995 0.7873 0.5745
Rh 0.0005 0.2127 0.4255

=====

> Look up the total magnetization of the first one.

0.00 Bohr magnetons per cell

=====

> Look up the total magnetization of the third one.

0.00 Bohr magnetons per cell

=====

> total magnetization of number 3 (HfCoBOs2)?

0.00 Bohr magnetons per cell